The following is a DFT calculation (GGA-PBE) of crystalline Ac6PdRu3 at its relaxed geometry.

Structure (extended XYZ):
```
20
Lattice="12.437 0.000 0.000 0.000 4.319 0.000 -4.809 0.000 11.834" Properties=species:S:1:pos:R:3 pbc="T T T"
Ac -1.293 1.080 4.668
Ac -3.284 3.240 11.112
Ac -0.694 1.080 9.156
Ac 1.782 3.240 3.205
Ac 2.347 1.080 6.726
Ac 4.927 1.080 1.279
Ac 2.701 3.240 10.556
Ac 5.281 3.240 5.108
Ac 5.846 1.080 8.629
Ac 8.322 3.240 2.679
Ac 10.912 1.080 0.722
Ac 8.921 3.240 7.166
Pd -0.219 3.240 6.692
Pd 7.847 1.080 5.143
Ru -0.983 3.240 2.653
Ru -0.405 3.240 11.174
Ru 3.484 1.080 3.955
Ru 4.144 3.240 7.879
Ru 8.033 1.080 0.660
Ru 8.611 1.080 9.181
```

Calculated values
The calculation puts the volume at 636 Å³ per cell. As for the space group: P2_1/m. For the formation enthalpy at 0 K, the calculation gives -0.264 eV/atom. The total magnetic moment comes out at 0.00 μB per cell.